Arrangement 1

This record from Alexandria via LeMat-Bulk describes crystalline Y2HgPb2 at its relaxed geometry. The functional is PBE.

Geometry as POSCAR:
```
Y2HgPb2
1.0
-2.1618 2.1618 8.2459
2.1618 -2.1618 8.2459
2.1618 2.1618 -8.2459
Y Hg Pb
2 1 2
Cartesian
0.0000 0.0000 1.6615 Y
0.0000 0.0000 14.8303 Y
0.0000 0.0000 8.2459 Hg
2.1618 0.0000 4.1230 Pb
0.0000 2.1618 4.1230 Pb
```

The density of states at the Fermi level is 0.75 states/eV/atom. Its crystal system is tetragonal. The mass density is 8.54 Mg/m³. As for the symmetry: I4/mmm (139).

***

Arrangement 2

This record from Alexandria via LeMat-Bulk describes crystalline Y2HgPb2 at its relaxed geometry. The functional is PBE.

Geometry as POSCAR:
```
Y2HgPb2
1.0
8.8705 0.0000 0.0000
0.0000 8.8705 0.0000
0.0000 0.0000 3.7888
Y Hg Pb
4 2 4
Cartesian
1.2757 3.1596 0.0000 Y
3.1596 7.5948 0.0000 Y
5.7109 1.2757 0.0000 Y
7.5948 5.7109 0.0000 Y
0.0000 0.0000 0.0000 Hg
4.4352 4.4352 0.0000 Hg
1.4282 5.8635 1.8944 Pb
3.0070 1.4282 1.8944 Pb
5.8635 7.4423 1.8944 Pb
7.4423 3.0070 1.8944 Pb
```

The density of states at the Fermi level is 0.78 states/eV/atom. Its crystal system is tetragonal. The mass density is 8.83 Mg/m³. As for the symmetry: P4/mbm (127).

***

What are the relative energies? In eV/atom: arrangement 1 0.194; arrangement 2 0.000.

***

Arrangement 1

This record from Alexandria via LeMat-Bulk describes crystalline Zn2Hg2Pb at its relaxed geometry. The functional is PBE.

Geometry as POSCAR:
```
Zn2Hg2Pb
1.0
-2.1838 2.1838 6.0619
2.1838 -2.1838 6.0619
2.1838 2.1838 -6.0619
Zn Hg Pb
2 2 1
Cartesian
0.0000 0.0000 1.2310 Zn
0.0000 0.0000 10.8927 Zn
2.1838 0.0000 3.0309 Hg
0.0000 2.1838 3.0309 Hg
0.0000 0.0000 6.0619 Pb
```

The density of states at the Fermi level is 0.44 states/eV/atom. Its crystal system is tetragonal. The mass density is 10.62 Mg/m³. As for the symmetry: I4/mmm (139).

***

Arrangement 2

This record from Alexandria via LeMat-Bulk describes crystalline Zn2Hg2Pb at its relaxed geometry. The functional is PBE.

Geometry as POSCAR:
```
Zn2Hg2Pb
1.0
8.2847 0.0000 0.0000
0.0000 8.2847 0.0000
0.0000 0.0000 3.3605
Zn Hg Pb
4 4 2
Cartesian
1.3064 2.8360 0.0000 Zn
2.8360 6.9784 0.0000 Zn
5.4487 1.3064 0.0000 Zn
6.9784 5.4487 0.0000 Zn
1.1396 5.2819 1.6803 Hg
3.0028 1.1396 1.6803 Hg
5.2819 7.1452 1.6803 Hg
7.1452 3.0028 1.6803 Hg
0.0000 0.0000 1.6803 Pb
4.1424 4.1424 1.6803 Pb
```

The density of states at the Fermi level is 0.39 states/eV/atom. Its crystal system is tetragonal. The mass density is 10.64 Mg/m³. As for the symmetry: P4/mbm (127).

***

What are the relative energies? In eV/atom: arrangement 1 0.000; arrangement 2 0.024.

***

Arrangement 1

This record from Alexandria via LeMat-Bulk describes crystalline ZnHgPb2 at its relaxed geometry. The functional is PBE.

Geometry as POSCAR:
```
ZnHgPb2
1.0
0.0000 3.7735 3.7735
3.7735 0.0000 3.7735
3.7735 3.7735 0.0000
Zn Hg Pb
1 1 2
Cartesian
0.0000 0.0000 0.0000 Zn
1.8867 1.8867 1.8867 Hg
3.7735 3.7735 3.7735 Pb
5.6602 5.6602 5.6602 Pb
```

The density of states at the Fermi level is 0.28 states/eV/atom. Its crystal system is cubic. The mass density is 10.51 Mg/m³. As for the symmetry: F-43m (216).

***

Arrangement 2

This record from Alexandria via LeMat-Bulk describes crystalline ZnHgPb2 at its relaxed geometry. The functional is PBE.

Geometry as POSCAR:
```
ZnHgPb2
1.0
2.2983 -2.5989 0.0000
2.2983 2.5989 0.0000
0.0000 0.0000 8.7377
Zn Hg Pb
1 1 2
Cartesian
0.0000 0.0000 0.0000 Zn
2.2983 0.0000 7.0900 Hg
0.0000 0.0000 4.7301 Pb
2.2983 0.0000 2.0843 Pb
```

The density of states at the Fermi level is 0.33 states/eV/atom. Its crystal system is orthorhombic. The mass density is 10.82 Mg/m³. As for the symmetry: Cmm2 (35).

***

What are the relative energies? In eV/atom: arrangement 1 0.039; arrangement 2 0.000.

***

Arrangement 1

This record from Alexandria via LeMat-Bulk describes crystalline ZnHgPb2 at its relaxed geometry. The functional is PBE.

Geometry as POSCAR:
```
ZnHgPb2
1.0
2.3969 1.3838 5.7946
-2.3969 1.3838 5.7946
0.0000 -2.7677 5.7946
Zn Hg Pb
1 1 2
Cartesian
0.0000 0.0000 0.0000 Zn
0.0000 0.0000 14.4279 Hg
0.0000 0.0000 6.9438 Pb
0.0000 0.0000 10.5107 Pb
```

The density of states at the Fermi level is 0.46 states/eV/atom. Its crystal system is trigonal. The mass density is 9.80 Mg/m³. As for the symmetry: R3m (160).

***

Arrangement 2

This record from Alexandria via LeMat-Bulk describes crystalline ZnHgPb2 at its relaxed geometry. The functional is PBE.

Geometry as POSCAR:
```
ZnHgPb2
1.0
0.0000 3.7526 3.7526
3.7526 0.0000 3.7526
3.7526 3.7526 0.0000
Zn Hg Pb
1 1 2
Cartesian
0.0000 0.0000 0.0000 Zn
3.7526 3.7526 3.7526 Hg
1.8763 1.8763 1.8763 Pb
5.6289 5.6289 5.6289 Pb
```

The density of states at the Fermi level is 0.26 states/eV/atom. Its crystal system is cubic. The mass density is 10.69 Mg/m³. As for the symmetry: Fm-3m (225).

***

Arrangement 3

This record from Alexandria via LeMat-Bulk describes crystalline ZnHgPb2 at its relaxed geometry. The functional is PBE.

Geometry as POSCAR:
```
ZnHgPb2
1.0
3.6624 0.0000 0.0000
0.0000 5.2909 0.0000
0.0000 0.0000 5.6051
Zn Hg Pb
1 1 2
Cartesian
0.0000 0.0000 0.0000 Zn
1.8312 0.0000 2.8026 Hg
0.0000 2.6454 2.8026 Pb
1.8312 2.6454 0.0000 Pb
```

The density of states at the Fermi level is 0.33 states/eV/atom. Its crystal system is orthorhombic. The mass density is 10.40 Mg/m³. As for the symmetry: Pmmm (47).

***

Arrangement 4

This record from Alexandria via LeMat-Bulk describes crystalline ZnHgPb2 at its relaxed geometry. The functional is PBE.

Geometry as POSCAR:
```
ZnHgPb2
1.0
4.0158 0.0000 0.0000
0.0000 4.5101 0.0000
-1.8759 0.0000 5.8665
Zn Hg Pb
1 1 2
Cartesian
0.0000 0.0000 0.0000 Zn
0.1890 2.2551 1.7174 Hg
0.1894 2.2551 4.9607 Pb
2.2098 0.0000 2.8166 Pb
```

The density of states at the Fermi level is 0.33 states/eV/atom. Its crystal system is monoclinic. The mass density is 10.63 Mg/m³. As for the symmetry: Pm (6).

***

What are the relative energies? In eV/atom: arrangement 1 0.032; arrangement 2 0.037; arrangement 3 0.048; arrangement 4 0.000.

***

Arrangement 1

This record from Alexandria via LeMat-Bulk describes crystalline ZnHgPb2 at its relaxed geometry. The functional is PBE.

Geometry as POSCAR:
```
ZnHgPb2
1.0
-2.1962 2.6635 4.5399
2.1962 -2.6635 4.5399
2.1962 2.6635 -4.5399
Zn Hg Pb
1 1 2
Cartesian
0.0000 0.0000 0.0000 Zn
0.0000 0.0000 4.5399 Hg
2.1962 0.0000 2.1044 Pb
0.0000 2.6635 2.4355 Pb
```

The density of states at the Fermi level is 0.46 states/eV/atom. Its crystal system is orthorhombic. The mass density is 10.64 Mg/m³. As for the symmetry: Immm (71).

***

Arrangement 2

This record from Alexandria via LeMat-Bulk describes crystalline ZnHgPb2 at its relaxed geometry. The functional is PBE.

Geometry as POSCAR:
```
ZnHgPb2
1.0
6.0184 -1.7414 0.0000
6.0184 1.7414 0.0000
-2.4651 0.0000 4.9945
Zn Hg Pb
1 1 2
Cartesian
0.0000 0.0000 0.0000 Zn
1.6160 0.0000 3.8919 Hg
5.0079 0.0000 2.5784 Pb
8.2920 0.0000 1.0998 Pb
```

The density of states at the Fermi level is 0.27 states/eV/atom. Its crystal system is monoclinic. The mass density is 10.79 Mg/m³. As for the symmetry: Cm (8).

***

What are the relative energies? In eV/atom: arrangement 1 0.040; arrangement 2 0.000.